Record 1
# SrNF2

An optimized crystal structure of SrNF2 (PBE, Alexandria).

The uncorrected formation energy is -1.5365 eV/atom. The energy above the lowest structure with this stoichiometry comes out at 0 meV/atom. As for the space group: No. 1.

Lattice parameters (Å, degrees): 3.9365 3.9374 6.5679 75.34 75.80 60.04
Last column: nearest neighbours and their distance in Å.
Atoms (fractional coordinates):
Sr (0.0000, 0.0000, 0.0000)  6 F 2.46
N (0.5000, 0.4975, 0.4996)  6 F 3.02-3.25
F (0.2932, 0.2899, 0.1501)  3 Sr 2.46
F (0.7065, 0.7101, 0.8500)  3 Sr 2.46

Record 2
# CsHf2ZnPt

An optimized crystal structure of CsHf2ZnPt (PBE, Alexandria).

Its formation energy is 15.9 kcal/mol of atoms. As for the space group: No. 123.

Lattice parameters (Å, degrees): 5.0825 5.0825 7.0051 90.00 90.00 90.00
Last column: nearest neighbours and their distance in Å.
Atoms (fractional coordinates):
Cs (0.0000, 0.0000, 0.0000)  2 Pt 3.50, 4 Zn 3.59
Hf (0.0000, 0.5000, 0.5000)  2 Pt 2.54
Hf (0.5000, 0.0000, 0.5000)  2 Pt 2.54
Zn (0.5000, 0.5000, 0.0000)  4 Cs 3.59
Pt (0.0000, 0.0000, 0.5000)  4 Hf 2.54

Record 3
# Pr7HgI12

An optimized crystal structure of Pr7HgI12 (PBE, Alexandria).

The uncorrected formation energy is -1.2241 eV/atom. As for the space group: No. 148.

Lattice parameters (Å, degrees): 10.1298 10.1298 10.1298 108.27 108.27 108.27
Last column: nearest neighbours and their distance in Å.
Atoms (fractional coordinates):
Pr (0.0000, 0.0000, 0.0000)  6 I 3.23
Pr (0.1667, 0.3825, 0.4535)  1 Hg 3.03, 5 I 3.23-3.33
Pr (0.3825, 0.4535, 0.1667)  1 Hg 3.03, 5 I 3.23-3.33
Pr (0.4535, 0.1667, 0.3825)  1 Hg 3.03, 5 I 3.23-3.33
Pr (0.5465, 0.8333, 0.6175)  1 Hg 3.03, 5 I 3.23-3.33
Pr (0.6175, 0.5465, 0.8333)  1 Hg 3.03, 5 I 3.23-3.33
Pr (0.8333, 0.6175, 0.5465)  1 Hg 3.03, 5 I 3.23-3.33
Hg (0.5000, 0.5000, 0.5000)  6 Pr 3.03
I (0.0217, 0.3445, 0.1028)  3 Pr 3.23-3.25
I (0.1028, 0.0217, 0.3445)  3 Pr 3.23-3.25
I (0.1923, 0.7287, 0.5772)  3 Pr 3.23-3.33
I (0.2713, 0.4228, 0.8077)  3 Pr 3.23-3.33
I (0.3445, 0.1028, 0.0217)  3 Pr 3.23-3.25
I (0.4228, 0.8077, 0.2713)  3 Pr 3.23-3.33
I (0.5772, 0.1923, 0.7287)  3 Pr 3.23-3.33
I (0.6555, 0.8972, 0.9783)  3 Pr 3.23-3.25
I (0.7287, 0.5772, 0.1923)  3 Pr 3.23-3.33
I (0.8077, 0.2713, 0.4228)  3 Pr 3.23-3.33
I (0.8972, 0.9783, 0.6555)  3 Pr 3.23-3.25
I (0.9783, 0.6555, 0.8972)  3 Pr 3.23-3.25

Record 4
# PuTlAsO5

An optimized crystal structure of PuTlAsO5 (PBE, Alexandria).

The uncorrected formation energy is -1.8586 eV/atom. As for the space group: No. 15.

Lattice parameters (Å, degrees): 6.3097 6.3097 8.0015 105.04 105.04 106.10
Last column: nearest neighbours and their distance in Å.
Atoms (fractional coordinates):
Pu (0.0000, 0.0000, 0.0000)  6 O 2.09-2.33
Pu (0.0000, 0.0000, 0.5000)  6 O 2.09-2.33
Tl (0.3305, 0.6695, 0.7500)  7 O 2.73-3.00
Tl (0.6695, 0.3305, 0.2500)  7 O 2.73-3.00
As (0.3129, 0.6871, 0.2500)  4 O 1.73-1.74
As (0.6871, 0.3129, 0.7500)  4 O 1.73-1.74
O (0.0595, 0.9405, 0.7500)  2 Pu 2.09
O (0.1304, 0.7035, 0.3787)  1 As 1.74
O (0.2300, 0.3994, 0.1051)  1 As 1.73
O (0.2965, 0.8696, 0.1213)  1 As 1.74
O (0.3994, 0.2300, 0.6051)  1 As 1.73
O (0.6006, 0.7700, 0.3949)  1 As 1.73
O (0.7035, 0.1304, 0.8787)  1 As 1.74
O (0.7700, 0.6006, 0.8949)  1 As 1.73
O (0.8696, 0.2965, 0.6213)  1 As 1.74
O (0.9405, 0.0595, 0.2500)  2 Pu 2.09

Record 5
# Ba6CdPdRh

An optimized crystal structure of Ba6CdPdRh (PBE, Alexandria).

Its formation energy is -6.1 kcal/mol of atoms. As for the space group: No. 149.

Lattice parameters (Å, degrees): 8.0703 8.0703 7.7772 90.00 90.00 120.00
Last column: nearest neighbours and their distance in Å.
Atoms (fractional coordinates):
Ba (0.0259, 0.3424, 0.2266)  1 Rh 3.10, 1 Pd 3.19
Ba (0.0259, 0.6835, 0.7734)  1 Rh 3.10, 1 Pd 3.19
Ba (0.3165, 0.3424, 0.7734)  1 Rh 3.10, 1 Pd 3.19
Ba (0.3165, 0.9741, 0.2266)  1 Rh 3.10, 1 Pd 3.19
Ba (0.6576, 0.6835, 0.2266)  1 Rh 3.10, 1 Pd 3.19
Ba (0.6576, 0.9741, 0.7734)  1 Rh 3.10, 1 Pd 3.19
Cd (0.6667, 0.3333, 0.5000)  6 Ba 3.57
Pd (0.0000, 0.0000, 0.0000)  6 Ba 3.19
Rh (0.3333, 0.6667, 0.0000)  6 Ba 3.10

Record 6
# CrCo2SnCl

An optimized crystal structure of CrCo2SnCl (PBE, Alexandria).

The uncorrected formation energy is 0.9895 eV/atom. As for the space group: No. 123.

Lattice parameters (Å, degrees): 4.2246 4.2246 5.3817 90.00 90.00 90.00
Last column: nearest neighbours and their distance in Å.
Atoms (fractional coordinates):
Cr (0.0000, 0.0000, 0.0000)  4 Co 2.11
Co (0.0000, 0.5000, 0.0000)  2 Cr 2.11
Co (0.5000, 0.0000, 0.0000)  2 Cr 2.11
Sn (0.0000, 0.0000, 0.5000)  2 Cr 2.69, 4 Cl 2.99
Cl (0.5000, 0.5000, 0.5000)  4 Sn 2.99

Record 7
# Ca2NdPaS6

An optimized crystal structure of Ca2NdPaS6 (PBE, Alexandria).

The uncorrected formation energy is -1.8848 eV/atom. As for the space group: No. 146.

Lattice parameters (Å, degrees): 7.4545 7.4545 7.4545 56.49 56.49 56.49
Last column: nearest neighbours and their distance in Å.
Atoms (fractional coordinates):
Ca (0.0000, 0.0000, 0.0000)  6 S 2.80-2.90
Ca (0.4936, 0.4936, 0.4936)  6 S 2.84-2.92
Nd (0.2033, 0.2033, 0.2033)  6 S 2.79-2.89
Pa (0.6961, 0.6961, 0.6961)  6 S 2.65-2.66
S (0.0684, 0.4266, 0.8113)  1 Pa 2.65, 2 Ca 2.84-2.90, 1 Nd 2.89
S (0.3190, 0.8991, 0.5975)  1 Pa 2.66, 1 Nd 2.79, 2 Ca 2.80-2.92
S (0.4266, 0.8113, 0.0684)  1 Pa 2.65, 2 Ca 2.84-2.90, 1 Nd 2.89
S (0.5975, 0.3190, 0.8991)  1 Pa 2.66, 1 Nd 2.79, 2 Ca 2.80-2.92
S (0.8113, 0.0684, 0.4266)  1 Pa 2.65, 2 Ca 2.84-2.90, 1 Nd 2.89
S (0.8991, 0.5975, 0.3190)  1 Pa 2.66, 1 Nd 2.79, 2 Ca 2.80-2.92

Record 8
# RbSeBr

An optimized crystal structure of RbSeBr (PBE, Alexandria).

The uncorrected formation energy is -0.9052 eV/atom. As for the space group: No. 12.

Lattice parameters (Å, degrees): 9.7200 6.5532 7.7518 90.00 102.70 90.00
Last column: nearest neighbours and their distance in Å.
Atoms (fractional coordinates):
Rb (0.0000, 0.0000, 0.0000)  6 Br 3.58-3.75
Rb (0.0000, 0.5000, 0.5000)  6 Se 3.48-3.74, 2 Br 3.54
Rb (0.5000, 0.0000, 0.5000)  6 Se 3.48-3.74, 2 Br 3.54
Rb (0.5000, 0.5000, 0.0000)  6 Br 3.58-3.75
Se (0.1226, 0.0000, 0.5370)  1 Se 2.33
Se (0.3774, 0.5000, 0.4630)  1 Se 2.33
Se (0.6226, 0.5000, 0.5370)  1 Se 2.33
Se (0.8774, 0.0000, 0.4630)  1 Se 2.33
Br (0.1752, 0.5000, 0.1448)  1 Se 2.80
Br (0.3248, 0.0000, 0.8552)  1 Se 2.80
Br (0.6752, 0.0000, 0.1448)  1 Se 2.80
Br (0.8248, 0.5000, 0.8552)  1 Se 2.80

Record 9
# Zn2FeS3

An optimized crystal structure of Zn2FeS3 (PBE, Alexandria).

The uncorrected formation energy is -0.5683 eV/atom. As for the space group: No. 156.

Lattice parameters (Å, degrees): 3.8202 3.8202 9.4335 90.00 90.00 120.00
Last column: nearest neighbours and their distance in Å.
Atoms (fractional coordinates):
Zn (0.0000, 0.0000, 0.0000)  4 S 2.35-2.36
Zn (0.3333, 0.6667, 0.6651)  4 S 2.35-2.36
Fe (0.6667, 0.3333, 0.3313)  4 S 2.33-2.34
S (0.0000, 0.0000, 0.2499)  3 Fe 2.34, 1 Zn 2.36
S (0.3333, 0.6667, 0.9147)  4 Zn 2.35-2.36
S (0.6667, 0.3333, 0.5785)  1 Fe 2.33, 3 Zn 2.35

Record 10
# MgZrSc6

An optimized crystal structure of MgZrSc6 (PBE, Alexandria).

Its formation energy is 0.3 kcal/mol of atoms. As for the space group: No. 123.

Lattice parameters (Å, degrees): 4.5829 4.5829 9.1410 90.00 90.00 90.00
Last column: nearest neighbours and their distance in Å.
Atoms (fractional coordinates):
Mg (0.0000, 0.0000, 0.0000)  12 Sc 3.24-3.28
Zr (0.0000, 0.0000, 0.5000)  12 Sc 3.19-3.24
Sc (0.0000, 0.5000, 0.2573)  2 Zr 3.19, 8 Sc 3.19-3.28, 2 Mg 3.28
Sc (0.0000, 0.5000, 0.7427)  2 Zr 3.19, 8 Sc 3.19-3.28, 2 Mg 3.28
Sc (0.5000, 0.0000, 0.2573)  2 Zr 3.19, 8 Sc 3.19-3.28, 2 Mg 3.28
Sc (0.5000, 0.0000, 0.7427)  2 Zr 3.19, 8 Sc 3.19-3.28, 2 Mg 3.28
Sc (0.5000, 0.5000, 0.0000)  4 Mg 3.24, 8 Sc 3.28
Sc (0.5000, 0.5000, 0.5000)  8 Sc 3.19, 4 Zr 3.24

Record 11
# GaP2O

An optimized crystal structure of GaP2O (PBE, Alexandria).

The uncorrected formation energy is 0.0810 eV/atom. The energy above the lowest structure with this stoichiometry comes out at 0 meV/atom. As for the space group: No. 122.

Lattice parameters (Å, degrees): 4.5100 4.5100 13.1667 90.00 90.00 90.00
Last column: nearest neighbours and their distance in Å.
Atoms (fractional coordinates):
Ga (0.0000, 0.0000, 0.0000)  4 P 2.68
Ga (0.0000, 0.5000, 0.2500)  4 P 2.68
Ga (0.5000, 0.0000, 0.7500)  4 P 2.68
Ga (0.5000, 0.5000, 0.5000)  4 P 2.68
P (0.1017, 0.2500, 0.6250)  2 O 2.05
P (0.2500, 0.6017, 0.8750)  2 O 2.05
P (0.2500, 0.8983, 0.3750)  2 O 2.05
P (0.3983, 0.2500, 0.1250)  2 O 2.05
P (0.6017, 0.7500, 0.1250)  2 O 2.05
P (0.7500, 0.1017, 0.3750)  2 O 2.05
P (0.7500, 0.3983, 0.8750)  2 O 2.05
P (0.8983, 0.7500, 0.6250)  2 O 2.05
O (0.0000, 0.0000, 0.5000)  4 P 2.05
O (0.0000, 0.5000, 0.7500)  4 P 2.05
O (0.5000, 0.0000, 0.2500)  4 P 2.05
O (0.5000, 0.5000, 0.0000)  4 P 2.05

Record 12
# YbPrO3

An optimized crystal structure of YbPrO3 (PBE, Alexandria).

The uncorrected formation energy is -3.0129 eV/atom. As for the space group: No. 62.

Lattice parameters (Å, degrees): 6.0697 8.5572 5.8149 90.00 90.00 90.00
Last column: nearest neighbours and their distance in Å.
Atoms (fractional coordinates):
Yb (0.0000, 0.0000, 0.0000)  6 O 2.23-2.31
Yb (0.0000, 0.5000, 0.0000)  6 O 2.23-2.31
Yb (0.5000, 0.0000, 0.5000)  6 O 2.23-2.31
Yb (0.5000, 0.5000, 0.5000)  6 O 2.23-2.31
Pr (0.0558, 0.2500, 0.4780)  4 O 2.36-2.49
Pr (0.4442, 0.7500, 0.9780)  4 O 2.36-2.49
Pr (0.5558, 0.2500, 0.0220)  4 O 2.36-2.49
Pr (0.9442, 0.7500, 0.5220)  4 O 2.36-2.49
O (0.0629, 0.7500, 0.1350)  2 Yb 2.31, 2 Pr 2.36-2.49
O (0.1984, 0.5738, 0.6969)  2 Yb 2.23-2.25, 1 Pr 2.39
O (0.1984, 0.9262, 0.6969)  2 Yb 2.23-2.25, 1 Pr 2.39
O (0.3016, 0.0738, 0.1969)  2 Yb 2.23-2.25, 1 Pr 2.39
O (0.3016, 0.4262, 0.1969)  2 Yb 2.23-2.25, 1 Pr 2.39
O (0.4371, 0.2500, 0.6350)  2 Yb 2.31, 2 Pr 2.36-2.49
O (0.5629, 0.7500, 0.3650)  2 Yb 2.31, 2 Pr 2.36-2.49
O (0.6984, 0.5738, 0.8031)  2 Yb 2.23-2.25, 1 Pr 2.39
O (0.6984, 0.9262, 0.8031)  2 Yb 2.23-2.25, 1 Pr 2.39
O (0.8016, 0.0738, 0.3031)  2 Yb 2.23-2.25, 1 Pr 2.39
O (0.8016, 0.4262, 0.3031)  2 Yb 2.23-2.25, 1 Pr 2.39
O (0.9371, 0.2500, 0.8650)  2 Yb 2.31, 2 Pr 2.36-2.49

| no. | magnetic moment (μB per formula unit) |
| --- | --- |
| 1 | 3.0 |
| 2 | 0.0 |
| 3 | 0.0 |
| 4 | 4.0 |
| 5 | 0.0 |
| 6 | 1.3 |
| 7 | 0.0 |
| 8 | 0.0 |
| 9 | 3.9 |
| 10 | 0.0 |
| 11 | 0.0 |
| 12 | 1.0 |